No. 1
A plane-wave DFT calculation with PBE was carried out for a geometry-optimized TbNdPd2 structure.

a = 4.5943 Å, b = 3.8199 Å, c = 10.7521 Å
α = 90.00°, β = 90.00°, γ = 90.00°
Last column: nearest neighbours and their distance in Å.
Space group Amm2 (No. 38)
Symmetry-distinct sites (fractional):
Tb 0.0000 0.0000 0.0000 x2  7 Pd 2.98-3.06
Nd 0.5000 0.0000 0.7266 x2  7 Pd 2.97-3.07
Pd 0.0000 0.0000 0.2771 x2  2 Pd 2.96, 3 Tb 2.98-3.06, 4 Nd 3.04
Pd 0.5000 0.0000 0.4502 x2  2 Pd 2.96, 3 Nd 2.97-3.07, 4 Tb 3.04

The calculation puts the energy relative to the elements at -0.86 eV per atom. The raw total energy is -5.7976 eV/atom.

No. 2
A plane-wave DFT calculation with PBE was carried out for a geometry-optimized SrSmBi structure.

a = 7.8291 Å, b = 7.8291 Å, c = 7.8291 Å
α = 90.00°, β = 90.00°, γ = 90.00°
Last column: nearest neighbours and their distance in Å.
Space group F-43m (No. 216)
Symmetry-distinct sites (fractional):
Sr 0.0000 0.0000 0.0000 x4  4 Sm 3.39
Sm 0.2500 0.2500 0.7500 x4  4 Bi 3.39, 4 Sr 3.39
Bi 0.0000 0.0000 0.5000 x4  4 Sm 3.39

The raw total energy is -3.4500 eV/atom.

No. 3
A plane-wave DFT calculation with PBE was carried out for a geometry-optimized Pr2Nd2CBr2F3 structure.

a = 16.0644 Å, b = 3.7272 Å, c = 7.0976 Å
α = 90.00°, β = 103.04°, γ = 90.00°
Last column: nearest neighbours and their distance in Å.
Space group C2/m (No. 12)
Symmetry-distinct sites (fractional):
Pr 0.1602 0.0000 0.1440 x4  3 F 2.52-2.66, 1 C 2.55
Nd 0.0254 0.5000 0.7710 x4  3 F 2.53-2.64, 2 C 2.57
C 0.0000 0.0000 0.0000 x2  2 Pr 2.55, 4 Nd 2.57
Br 0.1549 0.5000 0.4674 x4  2 Pr 2.97, 2 Nd 3.01-3.32, 3 F 3.16-3.17
F 0.0000 0.0000 0.5000 x2  4 Nd 2.64
F 0.1839 0.5000 0.9238 x4  3 Pr 2.52-2.66, 1 Nd 2.53

The raw total energy is -5.8395 eV/atom.